No. 1
# PBE-GGA Pm3Ho2Pb4, optimized geometry
# Crystal system ... monoclinic
# Energy above the lowest structure with this stoichiometry ... 46.1 meV/atom
# DOS at the Fermi energy ... 5.7 states/eV/cell
# Energy ... -4.67 eV per atom
# Energy of formation from the pure elements ... -362 kJ/mol of formula units
data_Pm3Ho2Pb4
_cell_length_a 6.294
_cell_length_b 6.294
_cell_length_c 10.079
_cell_angle_alpha 94.45
_cell_angle_beta 94.45
_cell_angle_gamma 45.80
_space_group_name_H-M_alt 'P 1'
_space_group_IT_number 1
_space_group_name_Hall 'P 1'
loop_
_atom_site_label
_atom_site_type_symbol
_atom_site_fract_x
_atom_site_fract_y
_atom_site_fract_z
Pm1 Pm 0.000 0.000 0.000
Pm2 Pm 0.369 0.369 0.583
Pm3 Pm 0.631 0.631 0.417
Ho1 Ho 0.318 0.318 0.200
Ho2 Ho 0.682 0.682 0.800
Pb1 Pb 0.081 0.081 0.639
Pb2 Pb 0.345 0.345 0.892
Pb3 Pb 0.655 0.655 0.108
Pb4 Pb 0.919 0.919 0.361


No. 2
# PBE-GGA CsCaTmCl6, optimized geometry
# Crystal system ... trigonal
# DOS at the Fermi energy ... 0.0 states/eV/cell
# Formation energy without anion corrections ... -20.81 eV per formula unit
# Energy ... -4.36 eV per atom
data_CsCaTmCl6
_cell_length_a 7.099
_cell_length_b 7.099
_cell_length_c 7.666
_cell_angle_alpha 90.00
_cell_angle_beta 90.00
_cell_angle_gamma 120.00
_space_group_name_H-M_alt 'P 1'
_space_group_IT_number 1
_space_group_name_Hall 'P 1'
loop_
_atom_site_label
_atom_site_type_symbol
_atom_site_fract_x
_atom_site_fract_y
_atom_site_fract_z
Cs1 Cs 0.000 0.000 0.000
Ca1 Ca 0.333 0.667 0.500
Tm1 Tm 0.667 0.333 0.500
Cl1 Cl 0.386 0.015 0.698
Cl2 Cl 0.386 0.372 0.302
Cl3 Cl 0.628 0.015 0.302
Cl4 Cl 0.628 0.614 0.698
Cl5 Cl 0.985 0.372 0.698
Cl6 Cl 0.985 0.614 0.302


No. 3
# PBE-GGA Ac5In4H, optimized geometry
# Crystal system ... tetragonal
# DOS at the Fermi energy ... 10.5 states/eV/cell
# Energy ... -3.71 eV per atom
data_Ac5In4H
_cell_length_a 7.943
_cell_length_b 7.943
_cell_length_c 7.943
_cell_angle_alpha 98.51
_cell_angle_beta 98.51
_cell_angle_gamma 134.75
_space_group_name_H-M_alt 'P 1'
_space_group_IT_number 1
_space_group_name_Hall 'P 1'
loop_
_atom_site_label
_atom_site_type_symbol
_atom_site_fract_x
_atom_site_fract_y
_atom_site_fract_z
Ac1 Ac 0.000 0.000 0.000
Ac2 Ac 0.280 0.633 0.905
Ac3 Ac 0.375 0.280 0.647
Ac4 Ac 0.633 0.728 0.353
Ac5 Ac 0.728 0.375 0.095
In1 In 0.051 0.363 0.405
In2 In 0.363 0.958 0.312
In3 In 0.646 0.051 0.688
In4 In 0.958 0.646 0.595
H1 H 0.561 0.561 0.000